VASP calculation (PBE) on a relaxed ScAsRh3 crystal.

- polymorph energy (0 for the lowest one) (eV per formula unit) = 5.06

Lattice parameters (Å, degrees): 4.6440 4.6440 4.6440 90.00 90.00 90.00
Element x y z (fractional)
Sc 0.0000 0.0000 0.0000
As 0.5000 0.5000 0.5000
Rh 0.0000 0.0000 0.5000
Rh 0.0000 0.5000 0.0000
Rh 0.5000 0.0000 0.0000



VASP calculation (PBE) on a relaxed Sc2As2Rh crystal.

Lattice parameters (Å, degrees): 6.6544 6.6544 3.9786 90.00 90.00 90.00
Element x y z (fractional)
Sc 0.1695 0.3305 0.0000
Sc 0.3305 0.8305 0.0000
Sc 0.6695 0.1695 0.0000
Sc 0.8305 0.6695 0.0000
As 0.1408 0.6408 0.5000
As 0.3592 0.1408 0.5000
As 0.6408 0.8592 0.5000
As 0.8592 0.3592 0.5000
Rh 0.0000 0.0000 0.5000
Rh 0.5000 0.5000 0.5000



VASP calculation (PBE) on a relaxed ScAsRh2 crystal.

Lattice parameters (Å, degrees): 5.8504 5.8504 10.5380 90.00 90.00 90.00
Element x y z (fractional)
Sc 0.0000 0.0000 0.0000
Sc 0.0000 0.5000 0.2500
Sc 0.5000 0.0000 0.7500
Sc 0.5000 0.5000 0.5000
As 0.0000 0.0000 0.5000
As 0.0000 0.5000 0.7500
As 0.5000 0.0000 0.2500
As 0.5000 0.5000 0.0000
Rh 0.2158 0.2500 0.6250
Rh 0.2500 0.7158 0.8750
Rh 0.2500 0.7842 0.3750
Rh 0.2842 0.2500 0.1250
Rh 0.7158 0.7500 0.1250
Rh 0.7500 0.2158 0.3750
Rh 0.7500 0.2842 0.8750
Rh 0.7842 0.7500 0.6250



VASP calculation (PBE) on a relaxed ScAsRh2 crystal.

Lattice parameters (Å, degrees): 4.1923 4.1923 13.5214 90.00 90.00 120.00
Element x y z (fractional)
Sc 0.0000 0.0000 0.0000
Sc 0.3333 0.6667 0.6667
Sc 0.6667 0.3333 0.3333
As 0.0000 0.0000 0.2006
As 0.3333 0.6667 0.8672
As 0.6667 0.3333 0.5339
Rh 0.0000 0.0000 0.5691
Rh 0.0000 0.0000 0.7915
Rh 0.3333 0.6667 0.2358
Rh 0.3333 0.6667 0.4581
Rh 0.6667 0.3333 0.1248
Rh 0.6667 0.3333 0.9025



VASP calculation (PBE) on a relaxed Sc3As4Rh4 crystal.

Lattice parameters (Å, degrees): 7.7711 7.7711 7.7711 150.54 126.27 62.46
Element x y z (fractional)
Sc 0.0000 0.0000 0.0000
Sc 0.3771 0.8771 0.5000
Sc 0.6229 0.1229 0.5000
As 0.2183 0.2183 0.0000
As 0.2996 0.5000 0.7996
As 0.7004 0.5000 0.2004
As 0.7817 0.7817 0.0000
Rh 0.0297 0.3247 0.7050
Rh 0.3803 0.6753 0.7050
Rh 0.6197 0.3247 0.2950
Rh 0.9703 0.6753 0.2950



VASP calculation (PBE) on a relaxed ScAs2Rh crystal.

Lattice parameters (Å, degrees): 4.5842 3.0222 10.4517 90.00 90.00 90.00
Element x y z (fractional)
Sc 0.0000 0.0000 0.0000
Sc 0.0000 0.5000 0.5000
As 0.0000 0.0000 0.2676
As 0.0000 0.5000 0.7676
As 0.5000 0.0000 0.5725
As 0.5000 0.5000 0.0725
Rh 0.5000 0.0000 0.3397
Rh 0.5000 0.5000 0.8397



VASP calculation (PBE) on a relaxed ScAs3Rh5 crystal.

Lattice parameters (Å, degrees): 6.8147 6.8147 12.6220 90.00 90.00 147.47
Element x y z (fractional)
Sc 0.0786 0.9214 0.7500
Sc 0.9214 0.0786 0.2500
As 0.1340 0.8660 0.2500
As 0.3806 0.6194 0.0428
As 0.3806 0.6194 0.4572
As 0.6194 0.3806 0.5428
As 0.6194 0.3806 0.9572
As 0.8660 0.1340 0.7500
Rh 0.0000 0.0000 0.0000
Rh 0.0000 0.0000 0.5000
Rh 0.2020 0.7980 0.0704
Rh 0.2020 0.7980 0.4296
Rh 0.4515 0.5485 0.6448
Rh 0.4515 0.5485 0.8552
Rh 0.5485 0.4515 0.1448
Rh 0.5485 0.4515 0.3552
Rh 0.7980 0.2020 0.5704
Rh 0.7980 0.2020 0.9296



VASP calculation (PBE) on a relaxed ScAsRh2 crystal.

Lattice parameters (Å, degrees): 3.2684 3.2947 5.9244 90.00 90.00 90.00
Element x y z (fractional)
Sc 0.0000 0.0000 0.0000
As 0.0000 0.0000 0.5000
Rh 0.5000 0.5000 0.2597
Rh 0.5000 0.5000 0.7403



VASP calculation (PBE) on a relaxed Sc3AsRh crystal.

- polymorph energy (0 for the lowest one) (eV per formula unit) = 1.12

Lattice parameters (Å, degrees): 4.9249 4.9249 4.9249 90.00 90.00 90.00
Element x y z (fractional)
Sc 0.0000 0.0000 0.5000
Sc 0.0000 0.5000 0.0000
Sc 0.5000 0.0000 0.0000
As 0.0000 0.0000 0.0000
Rh 0.5000 0.5000 0.5000



VASP calculation (PBE) on a relaxed Sc3AsRh crystal.

- polymorph energy (0 for the lowest one) (eV per formula unit) = 0.00

Lattice parameters (Å, degrees): 4.9463 4.9463 4.9463 90.00 90.00 90.00
Element x y z (fractional)
Sc 0.0000 0.0000 0.5000
Sc 0.0000 0.5000 0.0000
Sc 0.5000 0.0000 0.0000
As 0.5000 0.5000 0.5000
Rh 0.0000 0.0000 0.0000



VASP calculation (PBE) on a relaxed ScAsRh2 crystal.

Lattice parameters (Å, degrees): 5.6866 8.6856 2.9971 90.00 120.09 90.00
Element x y z (fractional)
Sc 0.0000 0.0000 0.0000
Sc 0.5000 0.5000 0.0000
As 0.0000 0.5000 0.0000
As 0.5000 0.0000 0.0000
Rh 0.2500 0.2500 0.5000
Rh 0.2500 0.7500 0.5000
Rh 0.7500 0.2500 0.5000
Rh 0.7500 0.7500 0.5000



VASP calculation (PBE) on a relaxed ScAs2Rh crystal.

Lattice parameters (Å, degrees): 4.0914 4.0126 4.5994 90.00 99.23 90.00
Element x y z (fractional)
Sc 0.0000 0.0000 0.0000
As 0.3204 0.5000 0.7466
As 0.6796 0.5000 0.2534
Rh 0.5000 0.0000 0.5000



Number 1: DFT formation energy 865 meV/atom, raw total energy -5.742 eV per atom. Number 2: DFT formation energy -998 meV/atom, raw total energy -6.861 eV per atom. Number 3: DFT formation energy -128 meV/atom, raw total energy -6.549 eV per atom. Number 4: DFT formation energy -667 meV/atom, raw total energy -7.088 eV per atom. Number 5: DFT formation energy -974 meV/atom, raw total energy -7.064 eV per atom. Number 6: DFT formation energy -583 meV/atom, raw total energy -6.329 eV per atom. Number 7: DFT formation energy -491 meV/atom, raw total energy -6.829 eV per atom. Number 8: DFT formation energy -665 meV/atom, raw total energy -7.086 eV per atom. Number 9: DFT formation energy -104 meV/atom, raw total energy -6.303 eV per atom. Number 10: DFT formation energy -328 meV/atom, raw total energy -6.527 eV per atom. Number 11: DFT formation energy -521 meV/atom, raw total energy -6.942 eV per atom. Number 12: DFT formation energy -695 meV/atom, raw total energy -6.441 eV per atom.